{"formula": "Cu3HPt", "functional": "GGA-PBE", "state": "relaxed", "lattice": [[4.763, 0.000, 0.000], [0.000, 4.763, 0.000], [0.000, 0.000, 4.763]], "species": ["H", "Cu", "Cu", "Cu", "Pt"], "frac_coords": [[0.500, 0.500, 0.500], [0.000, 0.500, 0.000], [0.000, 0.000, 0.500], [0.500, 0.000, 0.000], [0.000, 0.000, 0.000]], "de_polymorph_mev_per_atom": 1301.9}